VASP calculation (PBE+U) on a geometry-optimized V3IO structure.

Cell and atoms, written as POSCAR:
```
V3IO
1.0
5.2821 0.0000 0.0000
0.0000 5.2821 0.0000
0.0000 0.0000 5.2821
V I O
3 1 1
Cartesian
0.0000 0.0000 2.6411 V
0.0000 2.6411 0.0000 V
2.6411 0.0000 0.0000 V
0.0000 0.0000 0.0000 I
2.6411 2.6411 2.6411 O
```

Output
E, eV per atom: -3.8961
Magnetization, μB per cell: 11.78